(1)
A plane-wave DFT calculation with PBE was carried out for an optimized crystal structure of HfFeTc2Bi.

Output
Magnetic moment, μB/f.u.: 0.000
Formation energy, eV/atom: 0.677

Cell: 4.520 4.520 4.738 Å, 90.00 90.00 90.00°
Space group P4/mmm (No. 123)
Asymmetric unit:
Hf 0.000 0.000 0.000 [1 per cell]
Fe 0.000 0.000 0.500 [1 per cell]
Tc 0.000 0.500 0.500 [2 per cell]
Bi 0.500 0.500 0.000 [1 per cell]

=====

(2)
A plane-wave DFT calculation with PBE was carried out for an optimized crystal structure of FeHgBi2.

Output
Magnetic moment, μB/f.u.: 2.684
Formation energy, eV/atom: 0.514

Cell: 5.623 5.623 15.937 Å, 90.00 90.00 90.00°
Space group I-42d (No. 122)
Asymmetric unit:
Fe 0.000 0.000 0.000 [4 per cell]
Hg 0.000 0.000 0.500 [4 per cell]
Bi 0.181 0.250 0.125 [8 per cell]

=====

- The lowest formation energy belongs to which entry?
  FeHgBi2

=====

- Among the records above, which one has the highest magnetic moment?
  FeHgBi2

=====

- The lowest magnetic moment belongs to which entry?
  HfFeTc2Bi

=====

- formation energy of number 1 (HfFeTc2Bi)?
  0.677 eV/atom